Version P
VASP calculation (GGA-PBE) on crystalline Tb4Dy3Y8 at its relaxed geometry.

extended XYZ file:
```
15
Lattice="-6.456 2.510 0.648 -4.797 -3.606 3.519 -0.618 5.134 11.293" Properties=species:S:1:pos:R:3 pbc="T T T"
Tb 0.000 0.000 0.000
Tb -4.395 4.723 12.600
Tb -5.935 2.019 7.730
Tb -7.476 -0.685 2.860
Dy -3.537 3.822 5.971
Dy -0.309 2.567 5.647
Dy -2.707 0.764 7.406
Y -2.923 1.088 4.006
Y -5.360 -0.796 5.631
Y -8.599 0.463 5.956
Y -6.192 2.273 4.190
Y -8.947 2.951 11.455
Y -6.511 4.834 9.830
Y -3.271 3.575 9.505
Y -5.678 1.765 11.271
```

Output
Its space group is R-3m, No. 166. As for the density of states at the Fermi level: 24.046 states/eV/cell.

Version Q
VASP calculation (GGA-PBE) on crystalline Tb4Dy3Y8 at its relaxed geometry.

extended XYZ file:
```
15
Lattice="-1.455 2.309 6.170 -5.761 -6.833 -2.492 6.748 -6.362 0.281" Properties=species:S:1:pos:R:3 pbc="T T T"
Tb -0.727 1.155 3.085
Tb -2.880 -3.416 -1.246
Tb 0.000 0.000 0.000
Tb 3.374 -3.181 0.141
Dy -3.608 -2.262 1.839
Dy 2.646 -2.026 3.226
Dy -0.234 -5.443 1.980
Y -0.501 -2.295 2.649
Y -1.287 -6.664 -1.500
Y 0.256 -3.507 -0.557
Y -3.339 -5.560 1.291
Y 2.871 -5.326 2.668
Y -0.724 -7.378 4.516
Y 2.274 -6.530 -0.711
Y 0.033 -8.590 1.311
```

Output
Its space group is C2/m, No. 12. As for the density of states at the Fermi level: 31.092 states/eV/cell.

Quick one: most stable of them? version P

Version P
VASP calculation (GGA-PBE) on crystalline Tb3Dy7Y at its relaxed geometry.

extended XYZ file:
```
11
Lattice="-3.846 2.138 7.733 2.792 -9.446 0.901 5.052 1.321 -1.797" Properties=species:S:1:pos:R:3 pbc="T T T"
Tb 2.794 1.408 0.404
Tb 1.396 -4.723 0.450
Tb 1.204 -7.396 6.433
Dy 3.425 -4.668 6.194
Dy 0.252 -3.876 6.344
Dy -0.936 -1.167 4.997
Dy 4.934 -4.821 1.839
Dy 0.603 1.729 2.968
Dy 3.746 -2.111 0.493
Dy 0.574 -1.319 0.642
Y 1.999 -2.994 3.418
```

Output
Its space group is P2/m, No. 10. As for the density of states at the Fermi level: 17.533 states/eV/cell.

Version Q
VASP calculation (GGA-PBE) on crystalline Tb3Dy7Y at its relaxed geometry.

extended XYZ file:
```
11
Lattice="-4.345 2.916 -2.482 0.869 -7.547 -3.608 -2.871 -4.548 6.466" Properties=species:S:1:pos:R:3 pbc="T T T"
Tb 0.089 -6.922 -1.508
Tb -2.172 1.458 -1.241
Tb -2.091 -5.173 4.365
Dy -1.314 -1.887 0.074
Dy -2.140 -9.360 -0.451
Dy -2.728 -1.005 -3.157
Dy -3.619 -8.174 3.533
Dy -1.001 -6.048 1.429
Dy -4.207 0.181 0.827
Dy -5.033 -7.292 0.302
Y -3.173 -4.589 0.188
```

Output
Its space group is C2/m, No. 12. As for the density of states at the Fermi level: 16.184 states/eV/cell.

Quick one: most stable of them? version P

Version P
VASP calculation (GGA-PBE) on crystalline Tb3DyY6 at its relaxed geometry.

extended XYZ file:
```
20
Lattice="6.397 0.000 0.000 0.000 10.055 -5.716 0.000 -2.233 11.349" Properties=species:S:1:pos:R:3 pbc="T T T"
Tb 3.121 8.078 2.504
Tb 6.320 4.936 6.867
Tb 0.600 2.926 4.185
Tb 3.798 4.897 1.448
Tb 6.320 -0.256 3.129
Tb 3.121 2.886 -1.235
Dy 0.101 -0.256 8.604
Dy 3.300 8.078 -2.971
Y 0.441 6.075 2.808
Y 3.640 4.589 4.872
Y 2.096 2.604 7.540
Y 5.294 7.976 0.079
Y 2.029 9.876 -5.468
Y 5.052 1.471 6.206
Y 1.853 6.352 -0.573
Y 5.228 -2.054 11.101
Y 2.096 -0.154 5.554
Y 5.294 5.218 -1.907
Y 0.441 3.233 0.761
Y 3.640 1.747 2.825
```

Output
Its space group is Cmc2_1, No. 36. As for the density of states at the Fermi level: 32.401 states/eV/cell.

Version Q
VASP calculation (GGA-PBE) on crystalline Tb3DyY6 at its relaxed geometry.

extended XYZ file:
```
20
Lattice="-5.383 3.157 -0.591 -2.333 -2.008 10.516 5.592 9.027 -2.704" Properties=species:S:1:pos:R:3 pbc="T T T"
Tb -0.620 6.032 7.665
Tb -1.561 10.047 4.450
Tb 2.126 4.954 2.401
Tb -2.320 4.089 5.032
Tb -3.703 5.434 -0.686
Tb -2.762 1.418 2.529
Dy 3.172 7.232 -0.082
Dy -4.196 2.299 7.424
Y 1.591 4.287 5.767
Y -0.381 6.868 4.271
Y 2.136 8.672 2.845
Y -3.864 5.643 8.069
Y -4.136 -0.216 9.658
Y -0.127 8.007 0.598
Y -0.940 1.549 6.739
Y 0.355 11.364 -2.619
Y 0.541 5.236 -0.980
Y -5.460 2.207 4.244
Y 0.519 1.980 3.199
Y -1.452 4.561 1.702
```

Output
Its space group is Cmc2_1, No. 36. As for the density of states at the Fermi level: 30.490 states/eV/cell.

Quick one: most stable of them? version P